The following is a DFT calculation (GGA+U) of a relaxed structure of Li4Mn3O7.

The structure in POSCAR format:
```
Li4Mn3O7
1.0
-5.5090 -14.6709 1.2127
-4.1262 -15.1138 -1.2652
4.6099 -2.0130 2.9325
Li Mn O
8 6 14
Cartesian
-2.5126 -15.8989 1.4400 Li
-1.8087 -20.8159 2.7119 Li
-5.9022 -24.0656 1.0084 Li
0.4262 -2.2003 0.6312 Li
0.8769 -7.7322 1.8716 Li
-3.2166 -10.9819 0.1682 Li
-5.4515 -29.5974 2.2489 Li
-4.8176 -14.8924 -0.0262 Li
-7.7400 -28.4484 0.7663 Mn
2.7147 -3.3493 2.1137 Mn
-1.3843 -6.6018 0.4077 Mn
-0.8795 -11.9569 1.6467 Mn
-4.1458 -19.8408 1.2333 Mn
-3.6410 -25.1959 2.4723 Mn
-1.8249 -13.9330 1.4724 O
-1.1369 -18.8376 2.7332 O
-5.1462 -22.0010 1.0612 O
-8.4259 -30.1199 0.6823 O
1.7849 -5.2934 1.9424 O
-2.3685 -8.7441 0.2414 O
-4.6135 -27.2286 2.2930 O
-3.2004 -17.8647 1.4077 O
-2.6568 -23.0537 2.6386 O
-6.8102 -26.5043 0.9376 O
-0.4118 -4.5691 0.5870 O
0.1209 -9.7967 1.8188 O
-3.8884 -12.9601 0.1469 O
3.4006 -1.6779 2.1977 O
```

Summary:
E_tot in eV/atom: -6.3976
Size of the total moment in μB per formula unit: 11.00
Energy above the lowest structure with this stoichiometry in eV/f.u.: 0.29
V in Å³/cell: 260.8
Space group: C2/m, No. 12